(1)
# PBE KRb2ICl, relaxed
# Volume: 263.45 Å³/cell
# VASP energy: -12.36 eV per formula unit
# Density of states at the Fermi level: 1.5 states/eV/f.u.
# Formation energy from raw total energies: -1.185 eV/atom
data_KRb2ICl
_symmetry_space_group_name_H-M 'P 1'
_symmetry_Int_Tables_number 1
_symmetry_space_group_name_Hall 'P 1'
_cell_length_a 6.5568
_cell_length_b 6.5568
_cell_length_c 6.1279
_cell_angle_alpha 90.00
_cell_angle_beta 90.00
_cell_angle_gamma 90.00
loop_
_atom_site_label
_atom_site_type_symbol
_atom_site_fract_x
_atom_site_fract_y
_atom_site_fract_z
_atom_site_occupancy
K1 K 0.0000 0.0000 0.0000 1
Rb1 Rb 0.0000 0.5000 0.5000 1
Rb2 Rb 0.5000 0.0000 0.5000 1
I1 I 0.5000 0.5000 0.0000 1
Cl1 Cl 0.0000 0.0000 0.5000 1

=====

(2)
# PBE Dy3PaTl4Te8, relaxed
# Volume: 560.73 Å³/cell
# VASP energy: -72.67 eV per formula unit
# Density of states at the Fermi level: 9.8 states/eV/f.u.
# Formation energy from raw total energies: -0.923 eV/atom
data_Dy3PaTl4Te8
_symmetry_space_group_name_H-M 'P 1'
_symmetry_Int_Tables_number 1
_symmetry_space_group_name_Hall 'P 1'
_cell_length_a 9.7213
_cell_length_b 9.7213
_cell_length_c 9.7213
_cell_angle_alpha 54.14
_cell_angle_beta 54.14
_cell_angle_gamma 54.14
loop_
_atom_site_label
_atom_site_type_symbol
_atom_site_fract_x
_atom_site_fract_y
_atom_site_fract_z
_atom_site_occupancy
Dy1 Dy 0.0000 0.5000 0.5000 1
Dy2 Dy 0.5000 0.0000 0.5000 1
Dy3 Dy 0.5000 0.5000 0.0000 1
Pa1 Pa 0.0000 0.0000 0.0000 1
Tl1 Tl 0.0000 0.0000 0.5000 1
Tl2 Tl 0.0000 0.5000 0.0000 1
Tl3 Tl 0.5000 0.0000 0.0000 1
Tl4 Tl 0.5000 0.5000 0.5000 1
Te1 Te 0.2392 0.2392 0.7374 1
Te2 Te 0.2392 0.7374 0.2392 1
Te3 Te 0.2624 0.2624 0.2624 1
Te4 Te 0.2626 0.7608 0.7608 1
Te5 Te 0.7374 0.2392 0.2392 1
Te6 Te 0.7376 0.7376 0.7376 1
Te7 Te 0.7608 0.2626 0.7608 1
Te8 Te 0.7608 0.7608 0.2626 1

=====

(3)
# PBE AcYAg2Se4, relaxed
# Volume: 220.84 Å³/cell
# VASP energy: -39.29 eV per formula unit
# Density of states at the Fermi level: 0.1 states/eV/f.u.
# Formation energy from raw total energies: -1.135 eV/atom
data_AcYAg2Se4
_symmetry_space_group_name_H-M 'P 1'
_symmetry_Int_Tables_number 1
_symmetry_space_group_name_Hall 'P 1'
_cell_length_a 6.6314
_cell_length_b 6.6314
_cell_length_c 6.6314
_cell_angle_alpha 115.04
_cell_angle_beta 112.62
_cell_angle_gamma 101.08
loop_
_atom_site_label
_atom_site_type_symbol
_atom_site_fract_x
_atom_site_fract_y
_atom_site_fract_z
_atom_site_occupancy
Ac1 Ac 0.0000 0.0000 0.0000 1
Y1 Y 0.5000 0.5000 0.0000 1
Ag1 Ag 0.3317 0.8317 0.5000 1
Ag2 Ag 0.6683 0.1683 0.5000 1
Se1 Se 0.0914 0.0971 0.5520 1
Se2 Se 0.4550 0.9029 0.9943 1
Se3 Se 0.5450 0.5394 0.4480 1
Se4 Se 0.9086 0.4606 0.0057 1

=====

(4)
# PBE YAlGaGe2, relaxed
# Volume: 209.49 Å³/cell
# VASP energy: -24.08 eV per formula unit
# Density of states at the Fermi level: 1.9 states/eV/f.u.
# ΔE_f: -0.323 eV/atom
data_YAlGaGe2
_symmetry_space_group_name_H-M 'P 1'
_symmetry_Int_Tables_number 1
_symmetry_space_group_name_Hall 'P 1'
_cell_length_a 6.1116
_cell_length_b 6.1116
_cell_length_c 8.6112
_cell_angle_alpha 91.87
_cell_angle_beta 91.87
_cell_angle_gamma 40.67
loop_
_atom_site_label
_atom_site_type_symbol
_atom_site_fract_x
_atom_site_fract_y
_atom_site_fract_z
_atom_site_occupancy
Y1 Y 0.1441 0.1441 0.1489 1
Y2 Y 0.8559 0.8559 0.8511 1
Al1 Al 0.4371 0.4371 0.1226 1
Al2 Al 0.5629 0.5629 0.8774 1
Ga1 Ga 0.1714 0.1714 0.5148 1
Ga2 Ga 0.8286 0.8286 0.4852 1
Ge1 Ge 0.1644 0.1644 0.8034 1
Ge2 Ge 0.4284 0.4284 0.6098 1
Ge3 Ge 0.5716 0.5716 0.3902 1
Ge4 Ge 0.8356 0.8356 0.1966 1

=====

(5)
# PBE CeTl2Ru3O12, relaxed
# Volume: 285.76 Å³/cell
# VASP energy: -118.60 eV per formula unit
# Density of states at the Fermi level: 14.0 states/eV/f.u.
# Formation energy from raw total energies: -1.145 eV/atom
data_CeTl2Ru3O12
_symmetry_space_group_name_H-M 'P 1'
_symmetry_Int_Tables_number 1
_symmetry_space_group_name_Hall 'P 1'
_cell_length_a 7.4996
_cell_length_b 7.4996
_cell_length_c 7.4996
_cell_angle_alpha 58.17
_cell_angle_beta 58.17
_cell_angle_gamma 58.17
loop_
_atom_site_label
_atom_site_type_symbol
_atom_site_fract_x
_atom_site_fract_y
_atom_site_fract_z
_atom_site_occupancy
Ce1 Ce 0.0000 0.0000 0.0000 1
Tl1 Tl 0.3438 0.3438 0.3438 1
Tl2 Tl 0.6562 0.6562 0.6562 1
Ru1 Ru 0.0000 0.0000 0.5000 1
Ru2 Ru 0.0000 0.5000 0.0000 1
Ru3 Ru 0.5000 0.0000 0.0000 1
O1 O 0.0757 0.7015 0.7015 1
O2 O 0.0886 0.0886 0.6329 1
O3 O 0.0886 0.6329 0.0886 1
O4 O 0.2985 0.2985 0.9243 1
O5 O 0.2985 0.9243 0.2985 1
O6 O 0.3671 0.9114 0.9114 1
O7 O 0.6329 0.0886 0.0886 1
O8 O 0.7015 0.0757 0.7015 1
O9 O 0.7015 0.7015 0.0757 1
O10 O 0.9114 0.3671 0.9114 1
O11 O 0.9114 0.9114 0.3671 1
O12 O 0.9243 0.2985 0.2985 1

=====

(6)
# PBE Er6Tm2Tl, relaxed
# Volume: 549.89 Å³/cell
# Energy above the most stable polymorph in this dataset: 78 meV per atom
# VASP energy: -38.33 eV per formula unit
# Density of states at the Fermi level: 11.8 states/eV/f.u.
# ΔE_f: 0.040 eV/atom
data_Er6Tm2Tl
_symmetry_space_group_name_H-M 'P 1'
_symmetry_Int_Tables_number 1
_symmetry_space_group_name_Hall 'P 1'
_cell_length_a 9.3426
_cell_length_b 9.3426
_cell_length_c 6.3292
_cell_angle_alpha 93.48
_cell_angle_beta 93.48
_cell_angle_gamma 92.27
loop_
_atom_site_label
_atom_site_type_symbol
_atom_site_fract_x
_atom_site_fract_y
_atom_site_fract_z
_atom_site_occupancy
Er1 Er 0.0306 0.1715 0.0774 1
Er2 Er 0.0936 0.6904 0.4034 1
Er3 Er 0.1715 0.0306 0.5774 1
Er4 Er 0.1842 0.5334 0.9241 1
Er5 Er 0.3096 0.9064 0.0966 1
Er6 Er 0.4666 0.8158 0.5759 1
Er7 Er 0.5334 0.1842 0.4241 1
Er8 Er 0.6904 0.0936 0.9034 1
Er9 Er 0.8158 0.4666 0.0759 1
Er10 Er 0.8285 0.9694 0.4226 1
Er11 Er 0.9064 0.3096 0.5966 1
Er12 Er 0.9694 0.8285 0.9226 1
Tm1 Tm 0.2351 0.3636 0.4406 1
Tm2 Tm 0.3636 0.2351 0.9406 1
Tm3 Tm 0.6364 0.7649 0.0594 1
Tm4 Tm 0.7649 0.6364 0.5594 1
Tl1 Tl 0.4869 0.5131 0.2500 1
Tl2 Tl 0.5131 0.4869 0.7500 1

=====

(7)
# PBE DyEr2Ga6, relaxed
# Volume: 197.31 Å³/cell
# Energy above the most stable polymorph in this dataset: 153 meV per atom
# VASP energy: -36.07 eV per formula unit
# Density of states at the Fermi level: 4.5 states/eV/f.u.
# ΔE_f: -0.464 eV/atom
data_DyEr2Ga6
_symmetry_space_group_name_H-M 'P 1'
_symmetry_Int_Tables_number 1
_symmetry_space_group_name_Hall 'P 1'
_cell_length_a 7.7926
_cell_length_b 7.7926
_cell_length_c 7.7926
_cell_angle_alpha 148.10
_cell_angle_beta 127.14
_cell_angle_gamma 63.08
loop_
_atom_site_label
_atom_site_type_symbol
_atom_site_fract_x
_atom_site_fract_y
_atom_site_fract_z
_atom_site_occupancy
Dy1 Dy 0.0000 0.0000 0.0000 1
Er1 Er 0.3751 0.8751 0.5000 1
Er2 Er 0.6249 0.1249 0.5000 1
Ga1 Ga 0.0079 0.3145 0.6934 1
Ga2 Ga 0.3103 0.5000 0.8103 1
Ga3 Ga 0.3789 0.6855 0.6934 1
Ga4 Ga 0.6211 0.3145 0.3066 1
Ga5 Ga 0.6897 0.5000 0.1897 1
Ga6 Ga 0.9921 0.6855 0.3066 1

=====

(8)
# PBE BaPmP2, relaxed
# Volume: 118.62 Å³/cell
# Energy above the most stable polymorph in this dataset: 0 meV per atom
# VASP energy: -21.79 eV per formula unit
# Density of states at the Fermi level: 4.0 states/eV/f.u.
# ΔE_f: -1.075 eV/atom
data_BaPmP2
_symmetry_space_group_name_H-M 'P 1'
_symmetry_Int_Tables_number 1
_symmetry_space_group_name_Hall 'P 1'
_cell_length_a 7.7628
_cell_length_b 7.7628
_cell_length_c 7.7628
_cell_angle_alpha 32.28
_cell_angle_beta 32.28
_cell_angle_gamma 32.28
loop_
_atom_site_label
_atom_site_type_symbol
_atom_site_fract_x
_atom_site_fract_y
_atom_site_fract_z
_atom_site_occupancy
Ba1 Ba 0.0000 0.0000 0.0000 1
Pm1 Pm 0.5000 0.5000 0.5000 1
P1 P 0.2376 0.2376 0.2376 1
P2 P 0.7624 0.7624 0.7624 1

=====

> The lowest density of states at the Fermi level belongs to which entry?

AcYAg2Se4